Entry 1:
Tb5Pr4Nd: optimized geometry, PBE.

The space group is I4mm (No. 107) and the conventional cell measures 10.650, 10.650 and 6.153 Å, with angles of 90.00, 90.00 and 90.00 degrees. The inequivalent atoms are Tb at (0.000, 0.000, 0.000), Tb at (0.189, 0.189, 0.259), Pr at (0.000, 0.326, 0.797) and Nd at (0.000, 0.000, 0.530).

The value obtained for the calculated volume is 697.8 Å³/cell. The density of states at the Fermi level comes out at 26.80 states/eV/cell. The energy relative to the elements comes out at 0.23 eV/atom. For the offset from the most stable computed form, the calculation gives 0.0965 eV/atom.

Entry 2:
CoReCl2: optimized geometry, PBE.

The space group is Fm-3m (No. 225) and the conventional cell measures 6.077, 6.077 and 6.077 Å, with angles of 90.00, 90.00 and 90.00 degrees. The inequivalent atoms are Co at (0.000, 0.000, 0.000), Re at (0.000, 0.000, 0.500) and Cl at (0.250, 0.250, 0.250).

The value obtained for the calculated volume is 224.5 Å³/cell. The uncorrected formation energy comes out at 115.0 kJ/mol of atoms. The density of states at the Fermi level comes out at 17.92 states/eV/cell. For the offset from the most stable computed form, the calculation gives 1.0985 eV/atom.

Entry 3:
CaTlCr2: optimized geometry, PBE.

The space group is Pmmm (No. 47) and the conventional cell measures 4.213, 4.513 and 4.527 Å, with angles of 90.00, 90.00 and 90.00 degrees. The inequivalent atoms are Ca at (0.000, 0.000, 0.000), Tl at (0.000, 0.500, 0.500), Cr at (0.500, 0.000, 0.500) and Cr at (0.500, 0.500, 0.000).

The value obtained for the calculated volume is 86.1 Å³/cell. The density of states at the Fermi level comes out at 2.96 states/eV/cell. The energy relative to the elements comes out at 0.59 eV/atom. For the offset from the most stable computed form, the calculation gives 0.3080 eV/atom.

Entry 4:
FeBrCl2: optimized geometry, PBE.

The space group is Cmm2 (No. 35) and the conventional cell measures 3.252, 9.225 and 8.911 Å, with angles of 90.00, 90.00 and 90.00 degrees. The inequivalent atoms are Fe at (0.000, 0.000, 0.000), Br at (0.000, 0.500, 0.805), Cl at (0.000, 0.000, 0.522) and Cl at (0.000, 0.500, 0.176).

The value obtained for the calculated volume is 267.3 Å³/cell. The uncorrected formation energy comes out at -7.9 kJ/mol of atoms. The density of states at the Fermi level comes out at 5.38 states/eV/cell. For the offset from the most stable computed form, the calculation gives 0.5508 eV/atom.

Entry 5:
Ba2MnSb: optimized geometry, PBE.

The space group is Imm2 (No. 44) and the conventional cell measures 4.415, 5.277 and 12.545 Å, with angles of 90.00, 90.00 and 90.00 degrees. The inequivalent atoms are Ba at (0.000, 0.000, 0.000), Ba at (0.000, 0.500, 0.215), Mn at (0.000, 0.500, 0.789) and Sb at (0.000, 0.000, 0.426).

The value obtained for the calculated volume is 292.3 Å³/cell. The uncorrected formation energy comes out at -22.2 kJ/mol of atoms. The density of states at the Fermi level comes out at 3.20 states/eV/cell.

Entry 6:
CeNd2Pa3As6: optimized geometry, PBE.

The space group is C2/m (No. 12) and the conventional cell measures 18.186, 4.165 and 8.351 Å, with angles of 90.00, 103.43 and 90.00 degrees. The inequivalent atoms are Ce at (0.000, 0.000, 0.000), Nd at (0.167, 0.500, 0.334), Pa at (0.000, 0.000, 0.500), Pa at (0.167, 0.500, 0.834), As at (0.003, 0.500, 0.745), As at (0.164, 0.000, 0.592) and As at (0.169, 0.000, 0.076).

The value obtained for the calculated volume is 615.2 Å³/cell. The density of states at the Fermi level comes out at 31.87 states/eV/cell. The energy relative to the elements comes out at -1.27 eV/atom.

Entry 7:
SrY5Hg6: optimized geometry, PBE.

The space group is P2/m (No. 10) and the conventional cell measures 5.319, 7.530 and 8.431 Å, with angles of 90.00, 108.26 and 90.00 degrees. The inequivalent atoms are Sr at (0.000, 0.000, 0.000), Y at (0.000, 0.500, 0.000), Y at (0.333, 0.000, 0.665), Y at (0.337, 0.500, 0.672), Hg at (0.171, 0.259, 0.343) and Hg at (0.500, 0.264, 0.000).

The value obtained for the calculated volume is 320.7 Å³/cell. The density of states at the Fermi level comes out at 8.75 states/eV/cell. The energy relative to the elements comes out at -0.50 eV/atom.

Entry 8:
ScFe2Ni2: optimized geometry, PBE.

The space group is I4/mmm (No. 139) and the conventional cell measures 3.390, 3.390 and 11.429 Å, with angles of 90.00, 90.00 and 90.00 degrees. The inequivalent atoms are Sc at (0.000, 0.000, 0.000), Fe at (0.000, 0.500, 0.250) and Ni at (0.000, 0.000, 0.398).

The value obtained for the calculated volume is 131.3 Å³/cell. The density of states at the Fermi level comes out at 14.15 states/eV/cell. The energy relative to the elements comes out at 0.10 eV/atom. For the offset from the most stable computed form, the calculation gives 0.1332 eV/atom.